Tm2Hf GGA-PBE optimized geometry; DFT total energy = -5.7178 eV per atom; spin magnetization = 1.843 μB/f.u.; calculated formation energy = 0.58 eV per atom; volume = 27.37 Å³/atom; space group = Fd-3m, No. 227
1.0
0.000 4.346 4.346
4.346 0.000 4.346
4.346 4.346 0.000
Tm Hf
4 2
Direct
0.625 0.125 0.625
0.125 0.625 0.625
0.625 0.625 0.125
0.625 0.625 0.625
0.000 0.000 0.000
0.250 0.250 0.250